## KS2F8 (PBE)

Data for crystalline KS2F8 at its relaxed geometry.

Values from the calculation:
The value obtained for the total energy is -3.788 eV per atom. As for the energy relative to the elements, uncorrected: -36.360 kcal/mol of atoms.

```
KS2F8
1.0
7.888 0.342 0.293
1.743 4.863 -0.360
1.743 0.399 4.860
F S K
8 2 1
Direct
0.829 0.578 0.928
0.588 0.201 0.201
0.829 0.928 0.578
0.171 0.422 0.072
0.412 0.799 0.799
0.265 0.447 0.447
0.171 0.072 0.422
0.735 0.553 0.553
0.350 0.214 0.214
0.650 0.786 0.786
0.000 0.000 0.000
```